ZrMoO4 | PBE+U | optimized geometry

Computed properties:
- Energy: -50.36 eV/cell

```
6
Lattice="3.407 -3.446 0.000 3.407 3.446 0.000 0.000 0.000 3.270" Properties=species:S:1:pos:R:3 pbc="T T T"
Zr 0.000 0.000 0.000
Mo 3.407 0.000 1.635
O 1.363 0.000 1.635
O 3.407 1.329 0.000
O 3.407 -1.329 0.000
O 5.451 0.000 1.635
```